Material: TaBe2Cl
Method: DFT, PBE
State: optimized geometry

```
TaBe2Cl
1.0
0.000 3.002 3.002
3.002 0.000 3.002
3.002 3.002 0.000
Ta Be Cl
1 2 1
direct
0.000 0.000 0.000 Ta
0.250 0.250 0.250 Be
0.500 0.500 0.500 Be
0.750 0.750 0.750 Cl
```

energy relative to the lowest polymorph listed for this composition	64.9	kJ per mole of atoms
V	54	Å³/cell